# 1
A plane-wave DFT calculation with PBEsol was carried out for a relaxed structure of Cs2Sb.

Cell lengths 16.0619, 6.3076, 11.0175 Å; angles 90.00, 90.00, 90.00 degrees
Last column: nearest neighbours and their distance in Å.
Element x y z (fractional)
Cs1 0.0093 0.2500 0.1646  3 Sb 3.86-4.01, 5 Cs 4.06-4.29
Cs2 0.0580 0.7500 0.4147  4 Sb 3.61-3.95, 1 Cs 3.75
Cs3 0.2089 0.2500 0.9052  4 Cs 3.69-3.75, 6 Sb 3.85-4.12
Cs4 0.2432 0.7500 0.7386  4 Cs 3.69-4.06, 5 Sb 3.85-3.91
Cs5 0.2568 0.2500 0.2386  4 Cs 3.69-4.06, 5 Sb 3.85-3.91
Cs6 0.2911 0.7500 0.4052  4 Cs 3.69-3.75, 6 Sb 3.85-4.12
Cs7 0.4420 0.2500 0.9147  4 Sb 3.61-3.95, 1 Cs 3.75
Cs8 0.4907 0.7500 0.6646  3 Sb 3.86-4.01, 5 Cs 4.06-4.29
Cs9 0.5093 0.2500 0.3354  3 Sb 3.86-4.01, 5 Cs 4.06-4.29
Cs10 0.5580 0.7500 0.0853  4 Sb 3.61-3.95, 1 Cs 3.75
Cs11 0.7089 0.2500 0.5948  4 Cs 3.69-3.75, 6 Sb 3.85-4.12
Cs12 0.7432 0.7500 0.7614  4 Cs 3.69-4.06, 5 Sb 3.85-3.91
Cs13 0.7568 0.2500 0.2614  4 Cs 3.69-4.06, 5 Sb 3.85-3.91
Cs14 0.7911 0.7500 0.0948  4 Cs 3.69-3.75, 6 Sb 3.85-4.12
Cs15 0.9420 0.2500 0.5853  4 Sb 3.61-3.95, 1 Cs 3.75
Cs16 0.9907 0.7500 0.8354  3 Sb 3.86-4.01, 5 Cs 4.06-4.29
Sb1 0.1546 0.7500 0.0910  1 Sb 2.90
Sb2 0.1659 0.2500 0.5619  1 Sb 2.90
Sb3 0.3341 0.7500 0.0619  1 Sb 2.90
Sb4 0.3454 0.2500 0.5910  1 Sb 2.90
Sb5 0.6546 0.7500 0.4090  1 Sb 2.90
Sb6 0.6659 0.2500 0.9381  1 Sb 2.90
Sb7 0.8341 0.7500 0.4381  1 Sb 2.90
Sb8 0.8454 0.2500 0.9090  1 Sb 2.90

Results
uncorrected energy	-0.19012	Ry per atom


# 2
A plane-wave DFT calculation with PBEsol was carried out for a relaxed structure of ScHgMo2.

Cell lengths 2.8994, 4.2257, 5.8309 Å; angles 90.00, 100.30, 90.00 degrees
Last column: nearest neighbours and their distance in Å.
Element x y z (fractional)
Sc1 0.0000 0.0000 0.0000  4 Mo 2.80-3.12, 2 Sc 2.90, 4 Hg 2.96-2.97
Hg1 0.5930 0.5000 0.2603  6 Mo 2.85-3.04, 2 Hg 2.90, 4 Sc 2.96-2.97
Mo1 0.1912 0.0000 0.5434  2 Mo 2.53, 1 Sc 2.81
Mo2 0.5315 0.5000 0.7431  2 Mo 2.53, 2 Sc 2.80

Results
ΔE_f	113	meV/atom


In μB/cell, the size of the total moment values for the records above are, in order, 0.001; 0.000.